Compound: La2WF
Source: the Alexandria database
Functional: PBE with a Hubbard U
Structure: relaxed

The structure in CIF format:
```
data_La2WF
_chemical_formula_sum 'La8 W4 F4'
_symmetry_space_group_name_H-M 'P 1'
_symmetry_Int_Tables_number 1
_cell_length_a 7.490
_cell_length_b 7.490
_cell_length_c 7.490
_cell_angle_alpha 90.00
_cell_angle_beta 90.00
_cell_angle_gamma 90.00
loop_
_symmetry_equiv_pos_as_xyz
'x,y,z'
loop_
_atom_site_label
_atom_site_type_symbol
_atom_site_fract_x
_atom_site_fract_y
_atom_site_fract_z
_atom_site_occupancy
La1 La 0.250 0.250 0.250 1
La2 La 0.250 0.250 0.750 1
La3 La 0.250 0.750 0.250 1
La4 La 0.250 0.750 0.750 1
La5 La 0.750 0.250 0.250 1
La6 La 0.750 0.250 0.750 1
La7 La 0.750 0.750 0.250 1
La8 La 0.750 0.750 0.750 1
W1 W 0.000 0.000 0.000 1
W2 W 0.000 0.500 0.500 1
W3 W 0.500 0.000 0.500 1
W4 W 0.500 0.500 0.000 1
F1 F 0.000 0.000 0.500 1
F2 F 0.000 0.500 0.000 1
F3 F 0.500 0.000 0.000 1
F4 F 0.500 0.500 0.500 1
```

Calculated values
* raw total energy: -4.9243 eV/atom
* space group: Fm-3m
* V: 420.3 Å³/cell
* density: 7.6 g/cm3